This record from Alexandria describes ZrMn2Te after structural relaxation. The functional is PBE.

Structure (POSCAR):
```
ZrMn2Te
1.0
-1.8035 2.1922 4.3860
1.8035 -2.1922 4.3860
1.8035 2.1922 -4.3860
Zr Mn Te
1 2 1
direct
0.0000 0.0000 0.0000
0.2583 0.7583 0.5000
0.4832 0.4832 0.0000
0.7331 0.2331 0.5000
```

Values from the calculation:
volume = 69.4 Å³ per cell
raw total energy = -7.477 eV per atom
space group = Imm2, No. 44